No. 1
Compound: Co5C4
Source: the Alexandria database
Functional: PBE
Structure: relaxed

It has space group I4/mmm (No. 139), with a = 9.104 Å, b = 9.104 Å, c = 2.471 Å, α = 90.00°, β = 90.00° and γ = 90.00°. The inequivalent atoms are Co at (0.000, 0.000, 0.000), Co at (0.163, 0.163, 0.500) and C at (0.000, 0.211, 0.000).

The energy above the most stable polymorph in this dataset comes out at 0.370 eV per atom. The total DFT energy (no corrections) comes out at -127.75 eV per cell.

***

No. 2
Compound: CoC
Source: the Alexandria database
Functional: PBE
Structure: relaxed

It has space group Cmmm (No. 65), with a = 2.900 Å, b = 7.187 Å, c = 2.366 Å, α = 90.00°, β = 90.00° and γ = 90.00°. The inequivalent atoms are Co at (0.000, 0.000, 0.000) and C at (0.000, 0.500, 0.500).

The total DFT energy (no corrections) comes out at -28.53 eV per cell.

***

No. 3
Compound: Co3C
Source: the Alexandria database
Functional: PBE
Structure: relaxed

It has space group R-3m (No. 166, hexagonal axes), with a = 2.6594 Å, b = 2.6594 Å, c = 19.1512 Å, α = 90.00°, β = 90.00° and γ = 120.00°. The inequivalent atoms are Co at (0.0000, 0.0000, 0.0000), Co at (0.0000, 0.0000, 0.2254) and C at (0.0000, 0.0000, 0.5000).

The total DFT energy (no corrections) comes out at -87.75 eV per cell.

***

No. 4
Compound: CoC2
Source: the Alexandria database
Functional: PBE
Structure: relaxed

It has space group P-3m1 (No. 164), with a = 2.7164 Å, b = 2.7164 Å, c = 12.3213 Å, α = 90.00°, β = 90.00° and γ = 120.00°. The inequivalent atoms are Co at (0.0000, 0.0000, 0.0000), Co at (0.3333, 0.6667, 0.3525), C at (0.0000, 0.0000, 0.4427), C at (0.3333, 0.6667, 0.0983) and C at (0.3333, 0.6667, 0.2050).

The energy above the most stable polymorph in this dataset comes out at 0.511 eV per atom. The total DFT energy (no corrections) comes out at -67.64 eV per cell.

***

What did we get for M_tot? Answer: 0.2077 0.0924 0.6666 0.0000 μB per atom, in the order shown.
What did we get for calculated formation energy? Answer: 950 1033 323 1002 meV per atom, in the order shown.